Compound: RbCr2MoO8
Source: Alexandria
Functional: PBE+U
Structure: optimized geometry

POSCAR file:
```
RbCr2MoO8
1.0
5.370 -0.048 0.094
2.435 4.787 0.094
0.499 0.303 8.277
Rb Cr Mo O
1 2 1 8
Cartesian
0.249 0.151 4.138
5.048 3.065 1.867
3.256 1.977 6.597
0.000 0.000 0.000
4.785 1.229 6.946
6.266 3.804 0.779
5.513 3.347 3.403
2.791 1.694 5.061
2.038 1.237 7.685
3.298 3.679 6.946
5.006 1.363 1.519
3.518 3.813 1.519
```

Values from the calculation:
**Final energy**: -0.4937 Ry per atom
**V**: 213.4 Å³/cell